(1)
Below is a relaxed Pm7SiSn3 crystal, with properties calculated at the GGA-PBE level.

Summary:
* total energy: -5.031 eV/atom
* D(E_F): 1.09 states/eV/atom

Structure (CIF):
```
data_Pm7SiSn3
_cell_length_a 11.1366
_cell_length_b 11.7896
_cell_length_c 5.8443
_cell_angle_alpha 90.00
_cell_angle_beta 121.56
_cell_angle_gamma 90.00
_space_group_name_H-M_alt 'C 1 2/m 1'
_space_group_IT_number 12
loop_
_space_group_symop_operation_xyz
'x,y,z'
'-x,-y,-z'
'-x,y,-z'
'x,-y,z'
'x+1/2,y+1/2,z'
'-x+1/2,-y+1/2,-z'
'-x+1/2,y+1/2,-z'
'x+1/2,-y+1/2,z'
loop_
_atom_site_label
_atom_site_type_symbol
_atom_site_fract_x
_atom_site_fract_y
_atom_site_fract_z
_atom_site_occupancy
Pm1 Pm 0.0000 0.0000 0.0000 1
Pm2 Pm 0.1565 0.2528 0.6571 1
Pm3 Pm 0.1828 0.5000 0.1822 1
Si1 Si 0.0000 0.0000 0.5000 1
Sn1 Sn 0.0000 0.2657 0.0000 1
Sn2 Sn 0.0000 0.5000 0.5000 1
```

(2)
Below is a relaxed PmSiSn crystal, with properties calculated at the GGA-PBE level.

Summary:
* total energy: -5.086 eV/atom
* D(E_F): 0.74 states/eV/atom
* energy above the most stable polymorph in this dataset: 64 kJ/mol of formula units

Structure (CIF):
```
data_PmSiSn
_cell_length_a 4.6180
_cell_length_b 4.6180
_cell_length_c 4.0313
_cell_angle_alpha 90.00
_cell_angle_beta 90.00
_cell_angle_gamma 120.00
_space_group_name_H-M_alt 'P 3 m 1'
_space_group_IT_number 156
loop_
_space_group_symop_operation_xyz
'x,y,z'
'-y,x-y,z'
'-x+y,-x,z'
'-y,-x,z'
'-x+y,y,z'
'x,x-y,z'
loop_
_atom_site_label
_atom_site_type_symbol
_atom_site_fract_x
_atom_site_fract_y
_atom_site_fract_z
_atom_site_occupancy
Pm1 Pm 0.0000 0.0000 0.0000 1
Si1 Si 0.3333 0.6667 0.5136 1
Sn1 Sn 0.6667 0.3333 0.4928 1
```

(3)
Below is a relaxed Pm5SiSn2 crystal, with properties calculated at the GGA-PBE level.

Summary:
* total energy: -5.070 eV/atom
* D(E_F): 0.91 states/eV/atom

Structure (CIF):
```
data_Pm5SiSn2
_cell_length_a 5.9030
_cell_length_b 9.6890
_cell_length_c 16.9134
_cell_angle_alpha 90.00
_cell_angle_beta 90.00
_cell_angle_gamma 90.00
_space_group_name_H-M_alt 'C m c m'
_space_group_IT_number 63
_space_group_name_Hall '-C 2c 2'
loop_
_atom_site_label
_atom_site_type_symbol
_atom_site_fract_x
_atom_site_fract_y
_atom_site_fract_z
_atom_site_occupancy
Pm1 Pm 0.0000 0.0861 0.1029 1
Pm2 Pm 0.0000 0.2498 0.7500 1
Pm3 Pm 0.0000 0.4136 0.1033 1
Si1 Si 0.0000 0.2489 0.2500 1
Sn1 Sn 0.0000 0.2502 0.5657 1
```

(4)
Below is a relaxed PmSi2Sn crystal, with properties calculated at the GGA-PBE level.

Summary:
* total energy: -5.119 eV/atom
* D(E_F): 0.46 states/eV/atom

Structure (CIF):
```
data_PmSi2Sn
_cell_length_a 4.5764
_cell_length_b 4.5764
_cell_length_c 4.1163
_cell_angle_alpha 90.00
_cell_angle_beta 90.00
_cell_angle_gamma 90.00
_space_group_name_H-M_alt 'P 4/m m m'
_space_group_IT_number 123
_space_group_name_Hall '-P 4 2'
loop_
_atom_site_label
_atom_site_type_symbol
_atom_site_fract_x
_atom_site_fract_y
_atom_site_fract_z
_atom_site_occupancy
Pm1 Pm 0.0000 0.0000 0.0000 1
Si1 Si 0.0000 0.5000 0.5000 1
Sn1 Sn 0.5000 0.5000 0.0000 1
```

(5)
Below is a relaxed Pm5Si2Sn crystal, with properties calculated at the GGA-PBE level.

Summary:
* total energy: -5.481 eV/atom
* D(E_F): 1.12 states/eV/atom

Structure (CIF):
```
data_Pm5Si2Sn
_cell_length_a 7.8715
_cell_length_b 7.8715
_cell_length_c 14.3620
_cell_angle_alpha 90.00
_cell_angle_beta 90.00
_cell_angle_gamma 90.00
_space_group_name_H-M_alt 'I 4/m c m'
_space_group_IT_number 140
_space_group_name_Hall '-I 4 2c'
loop_
_atom_site_label
_atom_site_type_symbol
_atom_site_fract_x
_atom_site_fract_y
_atom_site_fract_z
_atom_site_occupancy
Pm1 Pm 0.0000 0.0000 0.0000 1
Pm2 Pm 0.1727 0.3273 0.1392 1
Si1 Si 0.1206 0.3794 0.5000 1
Sn1 Sn 0.0000 0.0000 0.2500 1
```

(6)
Below is a relaxed Pm7SiSn4 crystal, with properties calculated at the GGA-PBE level.

Summary:
* total energy: -5.063 eV/atom
* D(E_F): 0.53 states/eV/atom

Structure (CIF):
```
data_Pm7SiSn4
_cell_length_a 15.5445
_cell_length_b 5.6380
_cell_length_c 9.7718
_cell_angle_alpha 90.00
_cell_angle_beta 120.73
_cell_angle_gamma 90.00
_space_group_name_H-M_alt 'C 1 2/m 1'
_space_group_IT_number 12
loop_
_space_group_symop_operation_xyz
'x,y,z'
'-x,-y,-z'
'-x,y,-z'
'x,-y,z'
'x+1/2,y+1/2,z'
'-x+1/2,-y+1/2,-z'
'-x+1/2,y+1/2,-z'
'x+1/2,-y+1/2,z'
loop_
_atom_site_label
_atom_site_type_symbol
_atom_site_fract_x
_atom_site_fract_y
_atom_site_fract_z
_atom_site_occupancy
Pm1 Pm 0.0000 0.0000 0.0000 1
Pm2 Pm 0.0623 0.5000 0.3261 1
Pm3 Pm 0.1658 0.0000 0.5510 1
Pm4 Pm 0.1764 0.5000 0.9672 1
Si1 Si 0.0000 0.5000 0.0000 1
Sn1 Sn 0.0705 0.0000 0.7574 1
Sn2 Sn 0.2328 0.0000 0.2881 1
```

(7)
Below is a relaxed Pm12SiSn6 crystal, with properties calculated at the GGA-PBE level.

Summary:
* total energy: -4.970 eV/atom
* D(E_F): 1.06 states/eV/atom

Structure (CIF):
```
data_Pm12SiSn6
_cell_length_a 13.5748
_cell_length_b 13.5748
_cell_length_c 12.6718
_cell_angle_alpha 90.00
_cell_angle_beta 90.00
_cell_angle_gamma 120.00
_space_group_name_H-M_alt 'R -3'
_space_group_IT_number 148
_space_group_name_Hall '-R 3'
loop_
_atom_site_label
_atom_site_type_symbol
_atom_site_fract_x
_atom_site_fract_y
_atom_site_fract_z
_atom_site_occupancy
Pm1 Pm 0.0332 0.8299 0.3932 1
Pm2 Pm 0.0538 0.8495 0.8841 1
Si1 Si 0.0000 0.0000 0.0000 1
Sn1 Sn 0.0474 0.7740 0.6491 1
```

(8)
Below is a relaxed Pm7Si3Sn crystal, with properties calculated at the GGA-PBE level.

Summary:
* total energy: -5.310 eV/atom
* D(E_F): 0.75 states/eV/atom

Structure (CIF):
```
data_Pm7Si3Sn
_cell_length_a 8.8639
_cell_length_b 10.7768
_cell_length_c 7.0508
_cell_angle_alpha 90.00
_cell_angle_beta 106.50
_cell_angle_gamma 90.00
_space_group_name_H-M_alt 'C 1 2/m 1'
_space_group_IT_number 12
loop_
_space_group_symop_operation_xyz
'x,y,z'
'-x,-y,-z'
'-x,y,-z'
'x,-y,z'
'x+1/2,y+1/2,z'
'-x+1/2,-y+1/2,-z'
'-x+1/2,y+1/2,-z'
'x+1/2,-y+1/2,z'
loop_
_atom_site_label
_atom_site_type_symbol
_atom_site_fract_x
_atom_site_fract_y
_atom_site_fract_z
_atom_site_occupancy
Pm1 Pm 0.0000 0.0000 0.0000 1
Pm2 Pm 0.1570 0.5000 0.1920 1
Pm3 Pm 0.1771 0.2885 0.7130 1
Si1 Si 0.0000 0.2706 0.0000 1
Si2 Si 0.0000 0.5000 0.5000 1
Sn1 Sn 0.0000 0.0000 0.5000 1
```

(9)
Below is a relaxed PmSiSn2 crystal, with properties calculated at the GGA-PBE level.

Summary:
* total energy: -4.867 eV/atom
* D(E_F): 0.39 states/eV/atom

Structure (CIF):
```
data_PmSiSn2
_cell_length_a 4.4966
_cell_length_b 4.4966
_cell_length_c 4.8150
_cell_angle_alpha 90.00
_cell_angle_beta 90.00
_cell_angle_gamma 90.00
_space_group_name_H-M_alt 'P 4/m m m'
_space_group_IT_number 123
_space_group_name_Hall '-P 4 2'
loop_
_atom_site_label
_atom_site_type_symbol
_atom_site_fract_x
_atom_site_fract_y
_atom_site_fract_z
_atom_site_occupancy
Pm1 Pm 0.0000 0.0000 0.0000 1
Si1 Si 0.5000 0.5000 0.0000 1
Sn1 Sn 0.0000 0.5000 0.5000 1
```

(10)
Below is a relaxed Pm6SiSn2 crystal, with properties calculated at the GGA-PBE level.

Summary:
* total energy: -5.230 eV/atom
* D(E_F): 0.96 states/eV/atom

Structure (CIF):
```
data_Pm6SiSn2
_cell_length_a 8.4625
_cell_length_b 8.4625
_cell_length_c 4.3812
_cell_angle_alpha 90.00
_cell_angle_beta 90.00
_cell_angle_gamma 120.00
_space_group_name_H-M_alt 'P -6 2 m'
_space_group_IT_number 189
_space_group_name_Hall 'P -6 -2'
loop_
_atom_site_label
_atom_site_type_symbol
_atom_site_fract_x
_atom_site_fract_y
_atom_site_fract_z
_atom_site_occupancy
Pm1 Pm 0.0000 0.2476 0.0000 1
Pm2 Pm 0.0000 0.5985 0.5000 1
Si1 Si 0.0000 0.0000 0.5000 1
Sn1 Sn 0.3333 0.6667 0.0000 1
```

(11)
Below is a relaxed Pm2SiSn2 crystal, with properties calculated at the GGA-PBE level.

Summary:
* total energy: -4.867 eV/atom
* D(E_F): 1.09 states/eV/atom

Structure (CIF):
```
data_Pm2SiSn2
_cell_length_a 4.0376
_cell_length_b 4.0376
_cell_length_c 17.3062
_cell_angle_alpha 90.00
_cell_angle_beta 90.00
_cell_angle_gamma 90.00
_space_group_name_H-M_alt 'I 4/m m m'
_space_group_IT_number 139
_space_group_name_Hall '-I 4 2'
loop_
_atom_site_label
_atom_site_type_symbol
_atom_site_fract_x
_atom_site_fract_y
_atom_site_fract_z
_atom_site_occupancy
Pm1 Pm 0.0000 0.0000 0.0942 1
Si1 Si 0.0000 0.0000 0.5000 1
Sn1 Sn 0.0000 0.5000 0.2500 1
```

(12)
Below is a relaxed Pm8SiSn2 crystal, with properties calculated at the GGA-PBE level.

Summary:
* total energy: -5.073 eV/atom
* D(E_F): 1.12 states/eV/atom

Structure (CIF):
```
data_Pm8SiSn2
_cell_length_a 19.6533
_cell_length_b 5.1599
_cell_length_c 6.8618
_cell_angle_alpha 90.00
_cell_angle_beta 105.32
_cell_angle_gamma 90.00
_space_group_name_H-M_alt 'C 1 2/m 1'
_space_group_IT_number 12
loop_
_space_group_symop_operation_xyz
'x,y,z'
'-x,-y,-z'
'-x,y,-z'
'x,-y,z'
'x+1/2,y+1/2,z'
'-x+1/2,-y+1/2,-z'
'-x+1/2,y+1/2,-z'
'x+1/2,-y+1/2,z'
loop_
_atom_site_label
_atom_site_type_symbol
_atom_site_fract_x
_atom_site_fract_y
_atom_site_fract_z
_atom_site_occupancy
Pm1 Pm 0.0162 0.0000 0.2782 1
Pm2 Pm 0.0897 0.5000 0.9628 1
Pm3 Pm 0.1519 0.5000 0.4989 1
Pm4 Pm 0.2188 0.0000 0.8186 1
Si1 Si 0.0000 0.5000 0.5000 1
Sn1 Sn 0.1778 0.0000 0.2495 1
```